[1]
The following is a DFT calculation (PBE-GGA) of a relaxed NaAcSi2S6 crystal.

Results
As for the formation energy from raw total energies: -1096 meV/atom. The calculation puts the volume at 25.73 A^3/atom. As for the magnetic moment: 0.00 μB per cell.

Cell lengths 6.4775, 9.0751, 9.0751 Å; angles 89.18, 79.19, 79.19 degrees
Last column: nearest neighbours and their distance in Å.
Element x y z (fractional)
S 0.0137 0.3027 0.4028  2 Si 2.20
S 0.9863 0.6973 0.5972  2 Si 2.20
Si 0.2628 0.7905 0.6346  4 S 2.09-2.20
Si 0.2372 0.3654 0.2095  4 S 2.09-2.20
S 0.6124 0.1409 0.5790  1 Si 2.09
S 0.8030 0.0403 0.1968  1 Si 2.11
Na 0.2500 0.3718 0.6282  4 S 2.81-2.91
S 0.1970 0.9597 0.8032  1 Si 2.11
S 0.8876 0.4210 0.8591  1 Si 2.09
S 0.5137 0.4028 0.3027  2 Si 2.20
S 0.6970 0.8032 0.9597  1 Si 2.11
S 0.1124 0.5790 0.1409  1 Si 2.09
S 0.4863 0.5972 0.6973  2 Si 2.20
Ac 0.2500 0.8688 0.1312  6 S 2.93-3.14
S 0.3876 0.8591 0.4210  1 Si 2.09
Si 0.7372 0.2095 0.3654  4 S 2.09-2.20
Na 0.7500 0.6282 0.3718  4 S 2.81-2.91
Si 0.7628 0.6346 0.7905  4 S 2.09-2.20
Ac 0.7500 0.1312 0.8688  6 S 2.93-3.14
S 0.3030 0.1968 0.0403  1 Si 2.11

[2]
The following is a DFT calculation (PBE-GGA) of a relaxed Na2AcSmS4 crystal.

Results
As for the formation energy from raw total energies: -1802 meV/atom. The calculation puts the volume at 25.91 A^3/atom. As for the magnetic moment: 0.00 μB per cell.

Cell lengths 4.2224, 7.3326, 7.1254 Å; angles 110.02, 90.00, 90.00 degrees
Last column: nearest neighbours and their distance in Å.
Element x y z (fractional)
Na 0.0000 0.5000 0.5000  6 S 2.96
S 0.5000 0.7401 0.7620  1 Sm 2.83, 2 Ac 2.96, 3 Na 2.96-3.09
S 0.0000 0.7324 0.2323  2 Sm 2.86, 3 Na 2.96-3.06, 1 Ac 2.97
Na 0.5000 0.0000 0.5000  6 S 3.06-3.09
Ac 0.0000 0.0000 0.0000  6 S 2.96-2.97
S 0.0000 0.2676 0.7677  2 Sm 2.86, 3 Na 2.96-3.06, 1 Ac 2.97
Sm 0.5000 0.5000 0.0000  6 S 2.83-2.86
S 0.5000 0.2599 0.2380  1 Sm 2.83, 2 Ac 2.96, 3 Na 2.96-3.09

[3]
The following is a DFT calculation (PBE-GGA) of a relaxed Na3AcSm2S6 crystal.

Results
As for the formation energy from raw total energies: -1808 meV/atom. The calculation puts the volume at 25.31 A^3/atom. As for the magnetic moment: 0.00 μB per cell.

Cell lengths 7.2409, 7.2409, 7.1139 Å; angles 99.75, 99.75, 120.05 degrees
Last column: nearest neighbours and their distance in Å.
Element x y z (fractional)
S 0.5750 0.9225 0.7674  2 Sm 2.83, 3 Na 2.91-3.05, 1 Ac 2.96
S 0.4250 0.0775 0.2326  2 Sm 2.83, 3 Na 2.91-3.05, 1 Ac 2.96
Ac 0.0000 0.0000 0.0000  6 S 2.96-2.97
Na 0.5000 0.5000 0.5000  6 S 2.91-3.05
Sm 0.3333 0.6667 0.0000  6 S 2.83-2.84
Na 0.8318 0.1682 0.5000  6 S 2.91-3.05
Na 0.1682 0.8318 0.5000  6 S 2.91-3.05
S 0.9225 0.5750 0.7674  2 Sm 2.83, 3 Na 2.91-3.05, 1 Ac 2.96
S 0.7308 0.7308 0.2353  2 Sm 2.84, 3 Na 2.91-3.05, 1 Ac 2.97
S 0.2692 0.2692 0.7647  2 Sm 2.84, 3 Na 2.91-3.05, 1 Ac 2.97
S 0.0775 0.4250 0.2326  2 Sm 2.83, 3 Na 2.91-3.05, 1 Ac 2.96
Sm 0.6667 0.3333 0.0000  6 S 2.83-2.84